FeIr3Se: optimized geometry, GGA-PBE.

Properties
Electronic total energy   -30.7 eV/cell
Polymorph energy (0 for the lowest one)   150.1 meV/atom
Energy relative to the elements, uncorrected   1.5740 eV per atom
N(E_F)   10.22 states/eV per cell

extended XYZ file:
```
5
Lattice="4.483 0.000 0.000 0.000 4.483 0.000 0.000 0.000 4.483" Properties=species:S:1:pos:R:3 pbc="T T T"
Se 2.242 2.242 2.242
Ir 2.242 0.000 0.000
Ir 0.000 2.242 0.000
Ir 0.000 0.000 2.242
Fe 0.000 0.000 0.000
```